Record 1
Crystalline BaSb2F8 at its relaxed geometry, computed with PBE-GGA.

Lattice parameters (Å, degrees): 6.4304 6.4304 5.5806 96.34 96.34 66.97
With the nearest neighbours (Å) after each atom.
Fractional positions:
Ba1 0.0000 0.0000 0.0000  6 F 2.68-2.72
Sb1 0.3327 0.3327 0.5653  4 F 2.02-2.15
Sb2 0.6673 0.6673 0.4347  4 F 2.02-2.15
F1 0.0726 0.6552 0.6598  1 Sb 2.15
F2 0.2299 0.2299 0.8433  1 Sb 2.02
F3 0.3448 0.9274 0.3402  1 Sb 2.15
F4 0.4942 0.4942 0.2436  1 Sb 2.02
F5 0.5058 0.5058 0.7564  1 Sb 2.02
F6 0.6552 0.0726 0.6598  1 Sb 2.15
F7 0.7701 0.7701 0.1567  1 Sb 2.02
F8 0.9274 0.3448 0.3402  1 Sb 2.15

theoretical density = 4.2 g cm⁻³
symmetry = No. 12
calculated total energy = -55.55 eV per cell
size of the total moment = 0.0 μB per formula unit



Record 2
Crystalline BaSb3F at its relaxed geometry, computed with PBE-GGA.

Lattice parameters (Å, degrees): 6.3485 6.3485 6.3485 90.00 90.00 90.00
With the nearest neighbours (Å) after each atom.
Fractional positions:
Ba1 0.0000 0.0000 0.0000  6 Sb 3.17
Sb1 0.0000 0.0000 0.5000  2 Ba 3.17
Sb2 0.0000 0.5000 0.0000  2 Ba 3.17
Sb3 0.5000 0.0000 0.0000  2 Ba 3.17
F1 0.5000 0.5000 0.5000  12 Sb 4.49

theoretical density = 3.4 g cm⁻³
polymorph energy (0 for the lowest one) = 1.4751 eV/atom
symmetry = No. 221
calculated total energy = -12.28 eV per cell
size of the total moment = 0.2 μB per formula unit



Record 3
Crystalline BaSrSbF at its relaxed geometry, computed with PBE-GGA.

Lattice parameters (Å, degrees): 5.1590 5.1590 9.8578 90.00 90.00 90.00
With the nearest neighbours (Å) after each atom.
Fractional positions:
Ba1 0.2500 0.2500 0.1021  4 F 2.77
Ba2 0.7500 0.7500 0.8979  4 F 2.77
Sr1 0.2500 0.7500 0.5000  4 Sb 3.29, 4 Sr 3.65
Sr2 0.7500 0.2500 0.5000  4 Sb 3.29, 4 Sr 3.65
Sb1 0.2500 0.2500 0.7070  4 Sr 3.29
Sb2 0.7500 0.7500 0.2930  4 Sr 3.29
F1 0.2500 0.7500 0.0000  4 Ba 2.77
F2 0.7500 0.2500 0.0000  4 Ba 2.77

theoretical density = 4.6 g cm⁻³
symmetry = No. 129
calculated total energy = -34.98 eV per cell
size of the total moment = 0.0 μB per formula unit



Record 4
Crystalline Ba2TaSbF at its relaxed geometry, computed with PBE-GGA.

Lattice parameters (Å, degrees): 6.4327 6.4327 4.1485 90.00 90.00 90.00
With the nearest neighbours (Å) after each atom.
Fractional positions:
Ba1 0.0000 0.5000 0.0000  2 Ta 3.22
Ba2 0.5000 0.0000 0.0000  2 Ta 3.22
Ta1 0.0000 0.0000 0.0000  2 F 2.07
Sb1 0.5000 0.5000 0.5000  8 Ba 3.83, 2 Sb 4.15
F1 0.0000 0.0000 0.5000  2 Ta 2.07

theoretical density = 5.8 g cm⁻³
symmetry = No. 123
calculated total energy = -23.21 eV per cell
size of the total moment = 2.3 μB per formula unit



Record 5
Crystalline BaSbTe2F at its relaxed geometry, computed with PBE-GGA.

Lattice parameters (Å, degrees): 5.8026 5.8026 4.4313 90.00 90.00 90.00
With the nearest neighbours (Å) after each atom.
Fractional positions:
Ba1 0.0000 0.0000 0.0000  8 Te 3.65
Sb1 0.5000 0.5000 0.0000  2 F 2.22
Te1 0.0000 0.5000 0.5000  2 F 2.90
Te2 0.5000 0.0000 0.5000  2 F 2.90
F1 0.5000 0.5000 0.5000  2 Sb 2.22

theoretical density = 5.9 g cm⁻³
symmetry = No. 123
calculated total energy = -18.72 eV per cell
size of the total moment = 0.0 μB per formula unit



Record 6
Crystalline BaSb2TeF at its relaxed geometry, computed with PBE-GGA.

Lattice parameters (Å, degrees): 6.5598 6.5598 6.4295 90.00 90.00 90.00
With the nearest neighbours (Å) after each atom.
Fractional positions:
Ba1 0.0000 0.0000 0.0000  2 Te 3.21, 4 Sb 3.28
Sb1 0.0000 0.5000 0.0000  2 Ba 3.28
Sb2 0.5000 0.0000 0.0000  2 Ba 3.28
Te1 0.0000 0.0000 0.5000  2 Ba 3.21
F1 0.5000 0.5000 0.5000  8 Sb 4.59, 4 Te 4.64

theoretical density = 3.2 g cm⁻³
polymorph energy (0 for the lowest one) = 1.3803 eV/atom
symmetry = No. 123
calculated total energy = -12.28 eV per cell
size of the total moment = 1.1 μB per formula unit



Record 7
Crystalline BaSb2TeF at its relaxed geometry, computed with PBE-GGA.

Lattice parameters (Å, degrees): 4.9363 4.9363 5.8388 90.00 90.00 90.00
With the nearest neighbours (Å) after each atom.
Fractional positions:
Ba1 0.0000 0.0000 0.0000  4 Te 3.49, 8 Sb 3.82
Sb1 0.0000 0.5000 0.5000  2 F 2.47
Sb2 0.5000 0.0000 0.5000  2 F 2.47
Te1 0.5000 0.5000 0.0000  2 F 2.92
F1 0.5000 0.5000 0.5000  4 Sb 2.47

theoretical density = 6.2 g cm⁻³
polymorph energy (0 for the lowest one) = 0.0000 eV/atom
symmetry = No. 123
calculated total energy = -19.18 eV per cell
size of the total moment = 0.0 μB per formula unit



Record 8
Crystalline BaTlSbF6 at its relaxed geometry, computed with PBE-GGA.

Lattice parameters (Å, degrees): 4.2285 6.6597 6.6663 60.08 89.98 89.98
With the nearest neighbours (Å) after each atom.
Fractional positions:
Ba1 0.0000 0.0000 0.0000  9 F 2.74-2.84
Tl1 0.5941 0.6668 0.6663  3 F 2.67-2.68
Sb1 0.3692 0.3334 0.3335  3 F 2.07
F1 0.0611 0.0702 0.5450  1 Sb 2.07
F2 0.0607 0.3854 0.0707  1 Sb 2.07
F3 0.0617 0.5456 0.3859  1 Sb 2.07
F4 0.4968 0.0332 0.2458  1 Sb 2.41, 1 Tl 2.68
F5 0.4972 0.2457 0.7225  1 Sb 2.42, 1 Tl 2.67
F6 0.4971 0.7213 0.0326  1 Sb 2.41, 1 Tl 2.67

theoretical density = 5.9 g cm⁻³
symmetry = No. 1
calculated total energy = -44.48 eV per cell
size of the total moment = 0.0 μB per formula unit



Record 9
Crystalline BaZnSbF7 at its relaxed geometry, computed with PBE-GGA.

Lattice parameters (Å, degrees): 5.8207 10.9558 9.9692 90.00 95.08 90.00
With the nearest neighbours (Å) after each atom.
Fractional positions:
Ba1 0.2437 0.1540 0.0368  8 F 2.67-2.93
Ba2 0.2437 0.3460 0.5368  8 F 2.67-2.93
Ba3 0.7563 0.6540 0.4632  8 F 2.67-2.93
Ba4 0.7563 0.8460 0.9632  8 F 2.67-2.93
Zn1 0.1969 0.6443 0.7978  5 F 1.96-2.11
Zn2 0.1969 0.8557 0.2978  5 F 1.96-2.11
Zn3 0.8031 0.1443 0.7022  5 F 1.96-2.11
Zn4 0.8031 0.3557 0.2022  5 F 1.96-2.11
Sb1 0.2985 0.5802 0.1477  5 F 2.09-2.32
Sb2 0.2985 0.9198 0.6477  5 F 2.09-2.32
Sb3 0.7015 0.0802 0.3523  5 F 2.09-2.32
Sb4 0.7015 0.4198 0.8523  5 F 2.09-2.32
F1 0.0330 0.6907 0.2353  1 Zn 2.11, 1 Sb 2.20
F2 0.0330 0.8093 0.7353  1 Zn 2.11, 1 Sb 2.20
F3 0.0931 0.1243 0.6066  1 Zn 2.02
F4 0.0931 0.3757 0.1066  1 Zn 2.02
F5 0.1143 0.5688 0.6213  1 Zn 1.96
F6 0.1143 0.9312 0.1213  1 Zn 1.96
F7 0.3571 0.7118 0.9718  1 Zn 2.03
F8 0.3571 0.7882 0.4718  1 Zn 2.03
F9 0.3578 0.0185 0.3644  1 Zn 2.09, 1 Sb 2.13
F10 0.3578 0.4815 0.8644  1 Zn 2.09, 1 Sb 2.13
F11 0.3768 0.5191 0.3453  1 Sb 2.09
F12 0.3768 0.9809 0.8453  1 Sb 2.09
F13 0.4787 0.7323 0.2268  1 Sb 2.09, 1 Zn 2.29
F14 0.4787 0.7677 0.7268  1 Sb 2.09, 1 Zn 2.29
F15 0.5213 0.2323 0.2732  1 Sb 2.09, 1 Zn 2.29
F16 0.5213 0.2677 0.7732  1 Sb 2.09, 1 Zn 2.29
F17 0.6232 0.0191 0.1547  1 Sb 2.09
F18 0.6232 0.4809 0.6547  1 Sb 2.09
F19 0.6422 0.5185 0.1356  1 Zn 2.09, 1 Sb 2.13
F20 0.6422 0.9815 0.6357  1 Zn 2.09, 1 Sb 2.13
F21 0.6429 0.2118 0.5282  1 Zn 2.03
F22 0.6429 0.2882 0.0282  1 Zn 2.03
F23 0.8857 0.0688 0.8787  1 Zn 1.96
F24 0.8857 0.4312 0.3787  1 Zn 1.96
F25 0.9069 0.6243 0.8934  1 Zn 2.02
F26 0.9069 0.8757 0.3934  1 Zn 2.02
F27 0.9670 0.1907 0.2647  1 Zn 2.11, 1 Sb 2.20
F28 0.9670 0.3093 0.7647  1 Zn 2.11, 1 Sb 2.20

theoretical density = 4.8 g cm⁻³
symmetry = No. 14
calculated total energy = -193.75 eV per cell
size of the total moment = 0.0 μB per formula unit



Record 10
Crystalline BaSc3F at its relaxed geometry, computed with PBE-GGA.

Lattice parameters (Å, degrees): 4.9697 4.9697 4.9697 90.00 90.00 90.00
With the nearest neighbours (Å) after each atom.
Fractional positions:
Ba1 0.0000 0.0000 0.0000  12 Sc 3.51
Sc1 0.0000 0.5000 0.5000  2 F 2.48
Sc2 0.5000 0.0000 0.5000  2 F 2.48
Sc3 0.5000 0.5000 0.0000  2 F 2.48
F1 0.5000 0.5000 0.5000  6 Sc 2.48

theoretical density = 3.9 g cm⁻³
polymorph energy (0 for the lowest one) = 0.0000 eV/atom
symmetry = No. 221
calculated total energy = -25.33 eV per cell
size of the total moment = 0.0 μB per formula unit



Record 11
Crystalline BaSc2F at its relaxed geometry, computed with PBE-GGA.

Lattice parameters (Å, degrees): 9.4156 9.4156 9.4156 21.78 21.78 21.78
With the nearest neighbours (Å) after each atom.
Fractional positions:
Ba1 0.0000 0.0000 0.0000  2 Sc 3.41, 6 Ba 3.56
Sc1 0.1239 0.1239 0.1239  3 F 2.37
Sc2 0.8761 0.8761 0.8761  3 F 2.37
F1 0.5000 0.5000 0.5000  6 Sc 2.37

theoretical density = 4.1 g cm⁻³
polymorph energy (0 for the lowest one) = 0.1995 eV/atom
symmetry = No. 166
calculated total energy = -19.42 eV per cell
size of the total moment = 0.4 μB per formula unit



Record 12
Crystalline BaScF5 at its relaxed geometry, computed with PBE-GGA.

Lattice parameters (Å, degrees): 6.2105 6.2105 6.2105 140.35 107.63 85.82
With the nearest neighbours (Å) after each atom.
Fractional positions:
Ba1 0.0000 0.0000 0.0000  6 F 2.56-2.65
Sc1 0.5000 0.5000 0.0000  6 F 1.99-2.11
F1 0.2199 0.5000 0.7199  1 Sc 2.05
F2 0.2816 0.2816 0.0000  1 Sc 1.99
F3 0.5000 0.0000 0.5000  2 Sc 2.11
F4 0.7184 0.7184 0.0000  1 Sc 1.99
F5 0.7801 0.5000 0.2801  1 Sc 2.05

theoretical density = 3.3 g cm⁻³
symmetry = No. 71
calculated total energy = -45.07 eV per cell
size of the total moment = 0.0 μB per formula unit



> What is the formula in the tenth record?

BaSc3F



> What is the theoretical density in the second record?

3.4 g cm⁻³



> What is the size of the total moment in the first record?

0.0 μB per formula unit